Entry 1:
An optimized crystal structure of LiAc2Zn2, computed with GGA-PBE.

Lattice parameters (Å, degrees): 10.622 5.015 11.559 90.00 116.74 90.00
Space group C2/m (No. 12)
Asymmetric unit:
Li (0.216, 0.000, 0.366)
Ac (0.007, 0.500, 0.330)
Ac (0.202, 0.500, 0.107)
Zn (0.008, 0.000, 0.117)
Zn (0.142, 0.000, 0.571)

Results
E_tot: -54.192 eV per cell
Spin magnetization: 0.00 μB/f.u.

Entry 2:
An optimized crystal structure of EuZnRh2, computed with GGA-PBE.

Lattice parameters (Å, degrees): 3.268 3.268 6.540 90.00 90.00 90.00
Space group P4/mmm (No. 123)
Asymmetric unit:
Eu (0.000, 0.000, 0.000)
Zn (0.000, 0.000, 0.500)
Rh (0.500, 0.500, 0.291)

Results
E_tot: -27.386 eV per cell
Spin magnetization: 6.55 μB/f.u.

Entry 3:
An optimized crystal structure of PmPr2Mg, computed with GGA-PBE.

Lattice parameters (Å, degrees): 3.5527 3.5527 38.1037 90.00 90.00 120.00
Space group R-3m (No. 166, hexagonal axes)
Asymmetric unit:
Pm (0.0000, 0.0000, 0.0000)
Pr (0.0000, 0.0000, 0.4115)
Mg (0.0000, 0.0000, 0.5000)

Results
E_tot: -45.401 eV per cell
Spin magnetization: 0.00 μB/f.u.

Entry 4:
An optimized crystal structure of Dy3AlHg2, computed with GGA-PBE.

Lattice parameters (Å, degrees): 3.676 3.676 11.107 90.00 90.00 90.00
Space group P4/mmm (No. 123)
Asymmetric unit:
Dy (0.000, 0.000, 0.000)
Dy (0.000, 0.000, 0.340)
Al (0.500, 0.500, 0.500)
Hg (0.500, 0.500, 0.171)

Results
E_tot: -20.810 eV per cell
Spin magnetization: 0.00 μB/f.u.

Entry 5:
An optimized crystal structure of Tm5Mg6, computed with GGA-PBE.

Lattice parameters (Å, degrees): 5.248 7.453 8.957 65.62 73.05 90.00
Space group P-1 (No. 2)
Asymmetric unit:
Tm (0.000, 0.000, 0.000)
Tm (0.302, 0.303, 0.395)
Tm (0.339, 0.838, 0.322)
Mg (0.144, 0.436, 0.713)
Mg (0.146, 0.855, 0.710)
Mg (0.500, 0.289, 0.001)

Results
E_tot: -31.411 eV per cell
Spin magnetization: 0.00 μB/f.u.

Entry 6:
An optimized crystal structure of ReNi, computed with GGA-PBE.

Lattice parameters (Å, degrees): 3.7628 3.7628 4.9759 90.00 90.00 120.00
Space group P6_3/mmc (No. 194)
Asymmetric unit:
Re (0.0000, 0.0000, 0.0000)
Ni (0.3333, 0.6667, 0.2500)

Results
E_tot: -32.948 eV per cell
Spin magnetization: 0.00 μB/f.u.

Entry 7:
An optimized crystal structure of TaHgAs2, computed with GGA-PBE.

Lattice parameters (Å, degrees): 3.650 4.733 10.471 90.00 90.00 90.00
Space group Cmmm (No. 65)
Asymmetric unit:
Ta (0.000, 0.000, 0.000)
Hg (0.000, 0.000, 0.500)
As (0.000, 0.500, 0.186)

Results
E_tot: -43.557 eV per cell
Spin magnetization: 0.00 μB/f.u.

Repeat the first record exactly.
An optimized crystal structure of LiAc2Zn2, computed with GGA-PBE.

Lattice parameters (Å, degrees): 10.622 5.015 11.559 90.00 116.74 90.00
Space group C2/m (No. 12)
Asymmetric unit:
Li (0.216, 0.000, 0.366)
Ac (0.007, 0.500, 0.330)
Ac (0.202, 0.500, 0.107)
Zn (0.008, 0.000, 0.117)
Zn (0.142, 0.000, 0.571)

Results
E_tot: -54.192 eV per cell
Spin magnetization: 0.00 μB/f.u.